Ac2Pm2Co: relaxed, PBE-GGA.

Output
- Size of the total moment: 0.0 μB/cell
- DFT total energy: -4.825 eV/atom
- E_form: 0.70 eV/f.u.

abc: 5.077 5.083 13.368
angles: 100.96 100.95 90.00
Fractional coordinates of all 10 atoms:
Pm1 0.321 0.321 0.642
Pm2 0.571 0.071 0.142
Pm3 0.679 0.679 0.358
Pm4 0.929 0.429 0.858
Ac1 0.438 0.938 0.876
Ac2 0.062 0.562 0.124
Ac3 0.812 0.812 0.624
Ac4 0.188 0.188 0.376
Co1 0.750 0.250 0.500
Co2 0.500 0.500 0.000